Model one:
A relaxed CaZn4Ni crystal. Source: Alexandria, functional PBE.

Total magnetization in μB per cell: 0.00

a b c (Å): 7.9023 3.8786 6.7885
angles (deg): 90.00 90.00 90.00
Space group Pmma (No. 51)
Inequivalent atoms, fractional coordinates:
Ca 0.2500 0.0000 0.1056 (multiplicity 2)
Zn 0.0000 0.0000 0.5000 (multiplicity 2)
Zn 0.0594 0.5000 0.8009 (multiplicity 4)
Zn 0.2500 0.5000 0.4575 (multiplicity 2)
Ni 0.2500 0.0000 0.6971 (multiplicity 2)

=====

Model two:
A relaxed CaZn4Ni crystal. Source: Alexandria, functional PBE.

Total magnetization in μB per cell: 0.00

a b c (Å): 7.2846 7.2846 7.2846
angles (deg): 90.00 90.00 90.00
Space group F-43m (No. 216)
Inequivalent atoms, fractional coordinates:
Ca 0.0000 0.0000 0.0000 (multiplicity 4)
Zn 0.1235 0.1235 0.3765 (multiplicity 16)
Ni 0.2500 0.2500 0.7500 (multiplicity 4)

=====

Quick one: least stable of them? model two

=====

Model one:
A relaxed CaZnNi3 crystal. Source: Alexandria, functional PBE.

Total magnetization in μB per cell: 0.00

a b c (Å): 4.4458 4.4458 4.4458
angles (deg): 90.00 90.00 90.00
Space group Pm-3m (No. 221)
Inequivalent atoms, fractional coordinates:
Ca 0.0000 0.0000 0.0000 (multiplicity 1)
Zn 0.5000 0.5000 0.5000 (multiplicity 1)
Ni 0.0000 0.5000 0.5000 (multiplicity 3)

=====

Model two:
A relaxed CaZnNi3 crystal. Source: Alexandria, functional PBE.

Total magnetization in μB per cell: 0.00

a b c (Å): 4.5269 4.5269 4.5269
angles (deg): 90.00 90.00 90.00
Space group Pm-3m (No. 221)
Inequivalent atoms, fractional coordinates:
Ca 0.0000 0.0000 0.0000 (multiplicity 1)
Zn 0.5000 0.5000 0.5000 (multiplicity 1)
Ni 0.0000 0.0000 0.5000 (multiplicity 3)

=====

Quick one: least stable of them? model two

=====

Model one:
A relaxed Ca2ZrNi crystal. Source: Alexandria, functional PBE.

Total magnetization in μB per cell: 7.82

a b c (Å): 7.3650 7.3650 7.3650
angles (deg): 90.00 90.00 90.00
Space group Fm-3m (No. 225)
Inequivalent atoms, fractional coordinates:
Ca 0.2500 0.2500 0.2500 (multiplicity 8)
Zr 0.0000 0.0000 0.0000 (multiplicity 4)
Ni 0.0000 0.0000 0.5000 (multiplicity 4)

=====

Model two:
A relaxed Ca2ZrNi crystal. Source: Alexandria, functional PBE.

Total magnetization in μB per cell: 0.58

a b c (Å): 6.1783 9.6160 3.2951
angles (deg): 90.00 90.00 90.00
Space group Cmmm (No. 65)
Inequivalent atoms, fractional coordinates:
Ca 0.2500 0.2500 0.0000 (multiplicity 4)
Zr 0.0000 0.0000 0.5000 (multiplicity 2)
Ni 0.0000 0.5000 0.5000 (multiplicity 2)

=====

Model three:
A relaxed Ca2ZrNi crystal. Source: Alexandria, functional PBE.

Total magnetization in μB per cell: 0.00

a b c (Å): 3.3262 3.3262 8.8569
angles (deg): 90.00 90.00 90.00
Space group P4/mmm (No. 123)
Inequivalent atoms, fractional coordinates:
Ca 0.0000 0.0000 0.1960 (multiplicity 2)
Zr 0.5000 0.5000 0.5000 (multiplicity 1)
Ni 0.5000 0.5000 0.0000 (multiplicity 1)

=====

Quick one: least stable of them? model one

=====

Model one:
A relaxed Ca2ZrNi crystal. Source: Alexandria, functional PBE.

Total magnetization in μB per cell: 0.00

a b c (Å): 3.3532 3.9553 17.1325
angles (deg): 90.00 90.00 90.00
Space group Immm (No. 71)
Inequivalent atoms, fractional coordinates:
Ca 0.0000 0.0000 0.1590 (multiplicity 4)
Zr 0.0000 0.5000 0.0000 (multiplicity 2)
Ni 0.0000 0.5000 0.5000 (multiplicity 2)

=====

Model two:
A relaxed Ca2ZrNi crystal. Source: Alexandria, functional PBE.

Total magnetization in μB per cell: 0.00

a b c (Å): 4.2421 4.2421 10.4084
angles (deg): 90.00 90.00 90.00
Space group I4/mmm (No. 139)
Inequivalent atoms, fractional coordinates:
Ca 0.0000 0.5000 0.2500 (multiplicity 4)
Zr 0.0000 0.0000 0.0000 (multiplicity 2)
Ni 0.0000 0.0000 0.5000 (multiplicity 2)

=====

Model three:
A relaxed Ca2ZrNi crystal. Source: Alexandria, functional PBE.

Total magnetization in μB per cell: 0.00

a b c (Å): 3.4945 4.6208 6.1938
angles (deg): 90.00 101.26 90.00
Space group P2/m (No. 10)
Inequivalent atoms, fractional coordinates:
Ca 0.0989 0.0000 0.2726 (multiplicity 2)
Zr 0.5000 0.5000 0.0000 (multiplicity 1)
Ni 0.5000 0.5000 0.5000 (multiplicity 1)

=====

Model four:
A relaxed Ca2ZrNi crystal. Source: Alexandria, functional PBE.

Total magnetization in μB per cell: 0.00

a b c (Å): 4.2539 4.2539 5.1795
angles (deg): 90.00 90.00 90.00
Space group P4/mmm (No. 123)
Inequivalent atoms, fractional coordinates:
Ca 0.0000 0.5000 0.0000 (multiplicity 2)
Zr 0.0000 0.0000 0.5000 (multiplicity 1)
Ni 0.5000 0.5000 0.5000 (multiplicity 1)

=====

Quick one: least stable of them? model two

=====

Model one:
A relaxed CaZr2Ni2 crystal. Source: Alexandria, functional PBE.

Total magnetization in μB per cell: 0.00

a b c (Å): 4.5270 4.5270 10.1071
angles (deg): 90.00 90.00 90.00
Space group I4/mmm (No. 139)
Inequivalent atoms, fractional coordinates:
Ca 0.0000 0.0000 0.0000 (multiplicity 2)
Zr 0.0000 0.5000 0.2500 (multiplicity 4)
Ni 0.0000 0.0000 0.3834 (multiplicity 4)

=====

Model two:
A relaxed CaZr2Ni2 crystal. Source: Alexandria, functional PBE.

Total magnetization in μB per cell: 0.00

a b c (Å): 7.9105 7.9105 3.0208
angles (deg): 90.00 90.00 90.00
Space group P4/mbm (No. 127)
Inequivalent atoms, fractional coordinates:
Ca 0.0000 0.0000 0.0000 (multiplicity 2)
Zr 0.1457 0.3543 0.0000 (multiplicity 4)
Ni 0.1459 0.6459 0.5000 (multiplicity 4)

=====

Quick one: least stable of them? model two

=====

Model one:
A relaxed CaZrNi crystal. Source: Alexandria, functional PBE.

Total magnetization in μB per cell: 0.00

a b c (Å): 4.2249 4.2249 4.7802
angles (deg): 90.00 90.00 120.00
Space group P3m1 (No. 156)
Inequivalent atoms, fractional coordinates:
Ca 0.0000 0.0000 0.0000 (multiplicity 1)
Zr 0.3333 0.6667 0.5052 (multiplicity 1)
Ni 0.6667 0.3333 0.4177 (multiplicity 1)

=====

Model two:
A relaxed CaZrNi crystal. Source: Alexandria, functional PBE.

Total magnetization in μB per cell: 0.00

a b c (Å): 3.5486 12.3232 6.3187
angles (deg): 90.00 90.00 90.00
Space group Cmc2_1 (No. 36)
Inequivalent atoms, fractional coordinates:
Ca 0.0000 0.2111 0.0000 (multiplicity 4)
Zr 0.0000 0.4850 0.1991 (multiplicity 4)
Ni 0.0000 0.0891 0.4344 (multiplicity 4)

=====

Model three:
A relaxed CaZrNi crystal. Source: Alexandria, functional PBE.

Total magnetization in μB per cell: 0.00

a b c (Å): 3.6842 3.6842 6.4396
angles (deg): 90.00 90.00 120.00
Space group P3m1 (No. 156)
Inequivalent atoms, fractional coordinates:
Ca 0.0000 0.0000 0.0000 (multiplicity 1)
Zr 0.3333 0.6667 0.5100 (multiplicity 1)
Ni 0.6667 0.3333 0.3079 (multiplicity 1)

=====

Quick one: least stable of them? model one

=====

Model one:
A relaxed CaZrNi crystal. Source: Alexandria, functional PBE.

Total magnetization in μB per cell: 0.00

a b c (Å): 12.4248 3.5249 7.9417
angles (deg): 90.00 127.34 90.00
Space group Cm (No. 8)
Inequivalent atoms, fractional coordinates:
Ca 0.0000 0.0000 0.0000 (multiplicity 2)
Ca 0.2418 0.0000 0.5351 (multiplicity 2)
Zr 0.1684 0.5000 0.8507 (multiplicity 2)
Zr 0.4143 0.0000 0.3081 (multiplicity 2)
Ni 0.2368 0.5000 0.2271 (multiplicity 2)
Ni 0.4815 0.5000 0.6002 (multiplicity 2)

=====

Model two:
A relaxed CaZrNi crystal. Source: Alexandria, functional PBE.

Total magnetization in μB per cell: 0.00

a b c (Å): 6.5114 6.5114 6.5114
angles (deg): 90.00 90.00 90.00
Space group F-43m (No. 216)
Inequivalent atoms, fractional coordinates:
Ca 0.0000 0.0000 0.0000 (multiplicity 4)
Zr 0.0000 0.0000 0.5000 (multiplicity 4)
Ni 0.2500 0.2500 0.7500 (multiplicity 4)

=====

Model three:
A relaxed CaZrNi crystal. Source: Alexandria, functional PBE.

Total magnetization in μB per cell: 0.00

a b c (Å): 3.4794 3.9009 10.8568
angles (deg): 90.00 99.02 90.00
Space group P2_1/m (No. 11)
Inequivalent atoms, fractional coordinates:
Ca 0.1786 0.2500 0.3601 (multiplicity 2)
Zr 0.4381 0.2500 0.8737 (multiplicity 2)
Ni 0.0383 0.2500 0.0785 (multiplicity 2)

=====

Quick one: least stable of them? model two

=====

Model one:
A relaxed CaZr3Ni crystal. Source: Alexandria, functional PBE.

Total magnetization in μB per cell: 0.00

a b c (Å): 4.9761 4.9761 4.9761
angles (deg): 90.00 90.00 90.00
Space group Pm-3m (No. 221)
Inequivalent atoms, fractional coordinates:
Ca 0.0000 0.0000 0.0000 (multiplicity 1)
Zr 0.0000 0.0000 0.5000 (multiplicity 3)
Ni 0.5000 0.5000 0.5000 (multiplicity 1)

=====

Model two:
A relaxed CaZr3Ni crystal. Source: Alexandria, functional PBE.

Total magnetization in μB per cell: 0.00

a b c (Å): 5.0136 5.0136 5.0136
angles (deg): 90.00 90.00 90.00
Space group Pm-3m (No. 221)
Inequivalent atoms, fractional coordinates:
Ca 0.0000 0.0000 0.0000 (multiplicity 1)
Zr 0.0000 0.5000 0.5000 (multiplicity 3)
Ni 0.5000 0.5000 0.5000 (multiplicity 1)

=====

Quick one: least stable of them? model one

=====

Model one:
A relaxed CaNpP2 crystal. Source: Alexandria, functional PBE.

Total magnetization in μB per cell: 9.00

a b c (Å): 4.0146 4.0146 20.4817
angles (deg): 90.00 90.00 120.00
Space group R3m (No. 160, hexagonal axes)
Inequivalent atoms, fractional coordinates:
Ca 0.0000 0.0000 0.0000 (multiplicity 3)
Np 0.0000 0.0000 0.8283 (multiplicity 3)
P 0.0000 0.0000 0.2373 (multiplicity 3)
P 0.0000 0.0000 0.4218 (multiplicity 3)

=====

Model two:
A relaxed CaNpP2 crystal. Source: Alexandria, functional PBE.

Total magnetization in μB per cell: 9.00

a b c (Å): 4.0426 4.0426 19.8231
angles (deg): 90.00 90.00 120.00
Space group R-3m (No. 166, hexagonal axes)
Inequivalent atoms, fractional coordinates:
Ca 0.0000 0.0000 0.0000 (multiplicity 3)
Np 0.0000 0.0000 0.5000 (multiplicity 3)
P 0.0000 0.0000 0.2415 (multiplicity 6)

=====

Quick one: least stable of them? model one

=====

Model one:
A relaxed CaNp2S4 crystal. Source: Alexandria, functional PBE.

Total magnetization in μB per cell: 31.97

a b c (Å): 3.9143 12.9508 13.2271
angles (deg): 90.00 90.00 90.00
Space group Cmcm (No. 63)
Inequivalent atoms, fractional coordinates:
Ca 0.0000 0.1136 0.2500 (multiplicity 4)
Np 0.0000 0.3673 0.0673 (multiplicity 8)
S 0.0000 0.0000 0.0000 (multiplicity 4)
S 0.0000 0.2716 0.6189 (multiplicity 8)
S 0.0000 0.4597 0.2500 (multiplicity 4)

=====

Model two:
A relaxed CaNp2S4 crystal. Source: Alexandria, functional PBE.

Total magnetization in μB per cell: 16.00

a b c (Å): 14.8183 3.9855 6.9078
angles (deg): 90.00 115.77 90.00
Space group C2/m (No. 12)
Inequivalent atoms, fractional coordinates:
Ca 0.0000 0.0000 0.0000 (multiplicity 2)
Np 0.2282 0.5000 0.7261 (multiplicity 4)
S 0.1337 0.0000 0.4464 (multiplicity 4)
S 0.1417 0.5000 0.0068 (multiplicity 4)

=====

Quick one: least stable of them? model two

=====

Model one:
A relaxed CaNpSe2 crystal. Source: Alexandria, functional PBE.

Total magnetization in μB per cell: 14.99

a b c (Å): 4.0087 4.0087 22.2281
angles (deg): 90.00 90.00 120.00
Space group R3m (No. 160, hexagonal axes)
Inequivalent atoms, fractional coordinates:
Ca 0.0000 0.0000 0.0000 (multiplicity 3)
Np 0.0000 0.0000 0.8300 (multiplicity 3)
Se 0.0000 0.0000 0.4126 (multiplicity 3)
Se 0.0000 0.0000 0.5830 (multiplicity 3)

=====

Model two:
A relaxed CaNpSe2 crystal. Source: Alexandria, functional PBE.

Total magnetization in μB per cell: 14.14

a b c (Å): 4.1383 4.1383 20.6683
angles (deg): 90.00 90.00 120.00
Space group R-3m (No. 166, hexagonal axes)
Inequivalent atoms, fractional coordinates:
Ca 0.0000 0.0000 0.0000 (multiplicity 3)
Np 0.0000 0.0000 0.5000 (multiplicity 3)
Se 0.0000 0.0000 0.2495 (multiplicity 6)

=====

Quick one: least stable of them? model one